[1]
{
  "formula": "VFe2Ru",
  "functional": "GGA-PBE",
  "state": "optimized geometry",
  "lattice_angstrom": [[-1.8584, 0.1184, -2.8946], [-0.8012, -3.3258, 0.3783], [-8.7663, 0.7419, 3.6124]],
  "species": ["Ru", "Ru", "Fe", "Fe", "Fe", "Fe", "V", "V"],
  "frac_coords": [[0.0000, 0.0000, 0.0000], [0.7500, 0.2500, 0.5000], [0.6217, 0.1250, 0.2500], [0.1283, 0.6250, 0.2500], [0.3750, 0.3783, 0.7500], [0.8750, 0.8717, 0.7500], [0.5000, 0.5000, 0.0000], [0.2500, 0.7500, 0.5000]],
  "final_energy_ev_per_atom": -8.41,
  "m_tot_mub_per_cell": 9.3,
  "n_ef_per_ev_fu": 4.6,
  "e_above_lowest_polymorph_mev_per_atom": 480,
  "delta_e_f_ev_per_atom": 0.423
}

***

[2]
{
  "formula": "V4FeRu3",
  "functional": "GGA-PBE",
  "state": "optimized geometry",
  "lattice_angstrom": [[2.9805, 0.0000, 0.0000], [0.0000, 4.2340, 0.0000], [0.0000, 0.0000, 8.4279]],
  "species": ["Ru", "Ru", "Ru", "Fe", "V", "V", "V", "V"],
  "frac_coords": [[0.5000, 0.0000, 0.2499], [0.5000, 0.5000, 0.5000], [0.5000, 0.0000, 0.7501], [0.5000, 0.5000, 0.0000], [0.0000, 0.0000, 0.5000], [0.0000, 0.5000, 0.7622], [0.0000, 0.0000, 0.0000], [0.0000, 0.5000, 0.2378]],
  "final_energy_ev_per_atom": -9.31,
  "m_tot_mub_per_cell": 2.0,
  "n_ef_per_ev_fu": 9.1,
  "delta_e_f_ev_per_atom": -0.215
}